# 1
Entry from the Alexandria database: BOsN2F after structural relaxation (PBE-GGA).

Cell lengths 3.8081, 3.8081, 4.2977 Å; angles 90.00, 90.00, 90.00 degrees
Last column: nearest neighbours and their distance in Å.
Space group P4/mmm (No. 123)
One atom of each set of equivalent atoms:
B 0.0000 0.0000 0.0000  4 F 2.69, 8 N 2.87
Os 0.5000 0.5000 0.5000  4 N 1.90
N 0.0000 0.5000 0.5000  2 Os 1.90
F 0.5000 0.5000 0.0000  2 Os 2.15

**ΔE to the lowest computed polymorph**: 0.1093 eV/atom
**E**: -6.154 eV/atom

# 2
Entry from the Alexandria database: MgMn2Sb after structural relaxation (PBE-GGA).

Cell lengths 3.4736, 3.5132, 5.8370 Å; angles 90.00, 90.19, 90.00 degrees
Last column: nearest neighbours and their distance in Å.
Space group P2/m (No. 10)
One atom of each set of equivalent atoms:
Mg 0.0000 0.0000 0.0000  8 Mn 2.89-2.90, 2 Sb 2.92
Mn 0.5003 0.5000 0.2584  2 Mn 2.82-3.02, 4 Sb 2.84-2.85, 4 Mg 2.89-2.90
Sb 0.0000 0.0000 0.5000  8 Mn 2.84-2.85, 2 Mg 2.92

**E**: -5.835 eV/atom

# 3
Entry from the Alexandria database: TbTmHg2 after structural relaxation (PBE-GGA).

Cell lengths 7.4152, 7.4152, 7.4152 Å; angles 90.00, 90.00, 90.00 degrees
Last column: nearest neighbours and their distance in Å.
Space group Fm-3m (No. 225)
One atom of each set of equivalent atoms:
Tb 0.0000 0.0000 0.0000  8 Hg 3.21
Tm 0.0000 0.0000 0.5000  8 Hg 3.21
Hg 0.2500 0.2500 0.2500  4 Tb 3.21, 4 Tm 3.21

**Energy relative to the elements**: -0.476 eV/atom
**ΔE to the lowest computed polymorph**: 0.0035 eV/atom
**E**: -2.903 eV/atom

# 4
Entry from the Alexandria database: TbCeCdAu after structural relaxation (PBE-GGA).

Cell lengths 7.4519, 7.4519, 7.4519 Å; angles 90.00, 90.00, 90.00 degrees
Last column: nearest neighbours and their distance in Å.
Space group F-43m (No. 216)
One atom of each set of equivalent atoms:
Tb 0.0000 0.0000 0.0000  4 Cd 3.23, 4 Au 3.23
Ce 0.0000 0.0000 0.5000  4 Cd 3.23, 4 Au 3.23
Cd 0.2500 0.2500 0.7500  4 Tb 3.23, 4 Ce 3.23
Au 0.2500 0.2500 0.2500  4 Tb 3.23, 4 Ce 3.23

**Energy relative to the elements**: -0.422 eV/atom
**E**: -4.111 eV/atom

# 5
Entry from the Alexandria database: CsLiZrCl6 after structural relaxation (PBE-GGA).

Cell lengths 6.7297, 6.7297, 15.4390 Å; angles 90.00, 90.00, 120.00 degrees
Last column: nearest neighbours and their distance in Å.
Space group P-31c (No. 163)
One atom of each set of equivalent atoms:
Cs 0.0000 0.0000 0.0000  6 Cl 3.52
Li 0.3333 0.6667 0.2500  6 Cl 2.61
Zr 0.3333 0.6667 0.7500  6 Cl 2.50
Cl 0.0128 0.3877 0.6559  1 Zr 2.50, 1 Li 2.61

**E**: -4.381 eV/atom

# 6
Entry from the Alexandria database: NdPuPtPb after structural relaxation (PBE-GGA).

Cell lengths 7.4896, 7.4896, 7.4896 Å; angles 90.00, 90.00, 90.00 degrees
Last column: nearest neighbours and their distance in Å.
Space group F-43m (No. 216)
One atom of each set of equivalent atoms:
Nd 0.0000 0.0000 0.0000  4 Pt 3.24, 4 Pb 3.24
Pu 0.0000 0.0000 0.5000  4 Pb 3.24, 4 Pt 3.24
Pt 0.2500 0.2500 0.7500  4 Pu 3.24, 4 Nd 3.24
Pb 0.2500 0.2500 0.2500  4 Nd 3.24, 4 Pu 3.24

**Energy relative to the elements**: -0.447 eV/atom
**E**: -7.659 eV/atom

# 7
Entry from the Alexandria database: HoPa5Ge6 after structural relaxation (PBE-GGA).

Cell lengths 7.1614, 12.4066, 7.1638 Å; angles 90.00, 109.47, 90.00 degrees
Last column: nearest neighbours and their distance in Å.
Space group C2/m (No. 12)
One atom of each set of equivalent atoms:
Ho 0.0000 0.0000 0.0000  6 Ge 2.94
Pa 0.0000 0.1666 0.5000  6 Ge 2.91-2.93
Pa 0.0000 0.3333 0.0000  6 Ge 2.92
Pa 0.0000 0.5000 0.5000  6 Ge 2.90-2.93
Ge 0.2485 0.3321 0.7491  5 Pa 2.91-2.93, 1 Ho 2.94
Ge 0.2482 0.5000 0.2516  5 Pa 2.90-2.92, 1 Ho 2.94

**Energy relative to the elements**: -0.500 eV/atom
**E**: -7.146 eV/atom

# 8
Entry from the Alexandria database: Li2MgGa9 after structural relaxation (PBE-GGA).

Cell lengths 4.0697, 4.0697, 12.7961 Å; angles 90.00, 90.00, 90.00 degrees
Last column: nearest neighbours and their distance in Å.
Space group P4/mmm (No. 123)
One atom of each set of equivalent atoms:
Li 0.0000 0.0000 0.1621  12 Ga 2.88-2.91
Mg 0.0000 0.0000 0.5000  12 Ga 2.88-3.03
Ga 0.0000 0.5000 0.0000  8 Ga 2.88-2.92, 4 Li 2.91
Ga 0.0000 0.5000 0.3250  8 Ga 2.88-3.03, 2 Li 2.91, 2 Mg 3.03
Ga 0.5000 0.5000 0.1633  4 Li 2.88, 8 Ga 2.90-2.92
Ga 0.5000 0.5000 0.5000  4 Mg 2.88, 8 Ga 3.03

**Energy relative to the elements**: -0.141 eV/atom
**E**: -2.863 eV/atom

# 9
Entry from the Alexandria database: Zn2TcHI after structural relaxation (PBE-GGA).

Cell lengths 5.2261, 5.2261, 3.6929 Å; angles 90.00, 90.00, 90.00 degrees
Last column: nearest neighbours and their distance in Å.
Space group P4/mmm (No. 123)
One atom of each set of equivalent atoms:
Zn 0.0000 0.5000 0.0000  2 Tc 2.61
Tc 0.0000 0.0000 0.0000  2 H 1.85
H 0.0000 0.0000 0.5000  2 Tc 1.85
I 0.5000 0.5000 0.5000  8 Zn 3.20

**E**: -2.902 eV/atom

# 10
Entry from the Alexandria database: ZrCdTeI2 after structural relaxation (PBE-GGA).

Cell lengths 5.8339, 5.8339, 5.6011 Å; angles 90.00, 90.00, 90.00 degrees
Last column: nearest neighbours and their distance in Å.
Space group P4/mmm (No. 123)
One atom of each set of equivalent atoms:
Zr 0.0000 0.0000 0.0000  2 Te 2.80, 4 I 2.92
Cd 0.5000 0.5000 0.5000  8 I 4.04, 4 Te 4.13
Te 0.0000 0.0000 0.5000  2 Zr 2.80
I 0.0000 0.5000 0.0000  2 Zr 2.92

**ΔE to the lowest computed polymorph**: 0.0000 eV/atom
**E**: -3.494 eV/atom

# 11
Entry from the Alexandria database: Na2SbCl8 after structural relaxation (PBE-GGA).

Cell lengths 16.8639, 4.0652, 10.4214 Å; angles 90.00, 110.26, 90.00 degrees
Last column: nearest neighbours and their distance in Å.
Space group C2/m (No. 12)
One atom of each set of equivalent atoms:
Na 0.1819 0.0000 0.3064  5 Cl 2.78-2.93
Sb 0.0000 0.5000 0.5000  6 Cl 2.66-2.72
Cl 0.0458 0.0000 0.6851  2 Sb 2.72
Cl 0.0696 0.5000 0.0705  2 Cl 2.30-2.38
Cl 0.1523 0.5000 0.4765  1 Sb 2.66, 3 Na 2.85-2.93
Cl 0.2203 0.5000 0.1557  1 Cl 2.38

**ΔE to the lowest computed polymorph**: 0.0473 eV/atom
**E**: -2.843 eV/atom

# 12
Entry from the Alexandria database: CaHf2BeO after structural relaxation (PBE-GGA).

Cell lengths 4.5222, 4.5222, 5.4707 Å; angles 90.00, 90.00, 90.00 degrees
Last column: nearest neighbours and their distance in Å.
Space group P4/mmm (No. 123)
One atom of each set of equivalent atoms:
Ca 0.0000 0.0000 0.0000  2 Be 2.74
Hf 0.0000 0.5000 0.5000  2 Be 2.26
Be 0.0000 0.0000 0.5000  4 Hf 2.26
O 0.5000 0.5000 0.0000  4 Ca 3.20, 8 Hf 3.55

**ΔE to the lowest computed polymorph**: 0.0000 eV/atom
**E**: -5.514 eV/atom

# 13
Entry from the Alexandria database: Li3PuHg2O6 after structural relaxation (PBE-GGA).

Cell lengths 4.9235, 14.4975, 5.2299 Å; angles 90.00, 98.77, 90.00 degrees
Last column: nearest neighbours and their distance in Å.
Space group C2/m (No. 12)
One atom of each set of equivalent atoms:
Li 0.0000 0.0000 0.0000  2 O 1.94
Li 0.0000 0.4039 0.0000  4 O 1.99-2.02
Pu 0.0000 0.5000 0.5000  6 O 1.93-2.06
Hg 0.0000 0.1959 0.5000  2 O 2.35
O 0.2200 0.5000 0.2236  1 Pu 1.93, 3 Li 1.94-2.02
O 0.2293 0.4008 0.7190  1 Li 1.99, 1 Pu 2.06

**E**: -5.813 eV/atom

# 14
Entry from the Alexandria database: Ti3AgRu after structural relaxation (PBE-GGA).

Cell lengths 4.7019, 4.7019, 4.7019 Å; angles 90.00, 90.00, 90.00 degrees
Last column: nearest neighbours and their distance in Å.
Space group Pm-3m (No. 221)
One atom of each set of equivalent atoms:
Ti 0.0000 0.0000 0.5000  2 Ru 2.35
Ag 0.5000 0.5000 0.5000  12 Ti 3.32
Ru 0.0000 0.0000 0.0000  6 Ti 2.35

**Energy relative to the elements**: 0.433 eV/atom
**E**: -6.730 eV/atom

# 15
Entry from the Alexandria database: Be2TlGaCl after structural relaxation (PBE-GGA).

Cell lengths 4.3836, 4.3836, 5.9124 Å; angles 90.00, 90.00, 90.00 degrees
Last column: nearest neighbours and their distance in Å.
Space group P4/mmm (No. 123)
One atom of each set of equivalent atoms:
Be 0.0000 0.5000 0.0000  2 Ga 2.19
Tl 0.0000 0.0000 0.5000  2 Ga 2.96, 4 Cl 3.10
Ga 0.0000 0.0000 0.0000  4 Be 2.19
Cl 0.5000 0.5000 0.5000  4 Tl 3.10

**E**: -2.644 eV/atom

# 16
Entry from the Alexandria database: RbIrRu2 after structural relaxation (PBE-GGA).

Cell lengths 6.5387, 6.5387, 6.5387 Å; angles 90.00, 90.00, 90.00 degrees
Last column: nearest neighbours and their distance in Å.
Space group Fm-3m (No. 225)
One atom of each set of equivalent atoms:
Rb 0.0000 0.0000 0.0000  8 Ru 2.83
Ir 0.0000 0.0000 0.5000  8 Ru 2.83
Ru 0.2500 0.2500 0.2500  4 Rb 2.83, 4 Ir 2.83

**Energy relative to the elements**: 1.598 eV/atom
**ΔE to the lowest computed polymorph**: 0.2514 eV/atom
**E**: -5.497 eV/atom

# 17
Entry from the Alexandria database: La4PbI2 after structural relaxation (PBE-GGA).

Cell lengths 6.1272, 6.1272, 16.0499 Å; angles 90.00, 90.00, 90.00 degrees
Last column: nearest neighbours and their distance in Å.
Space group I4/mmm (No. 139)
One atom of each set of equivalent atoms:
La 0.0000 0.0000 0.1996  1 I 3.13, 1 Pb 3.20
La 0.0000 0.5000 0.0000  2 Pb 3.06
Pb 0.0000 0.0000 0.0000  6 La 3.06-3.20
I 0.0000 0.0000 0.3945  5 La 3.13-3.50, 1 I 3.39

**E**: -4.129 eV/atom

# 18
Entry from the Alexandria database: BaLaEr after structural relaxation (PBE-GGA).

Cell lengths 3.8547, 3.8547, 16.5292 Å; angles 90.00, 90.00, 90.00 degrees
Last column: nearest neighbours and their distance in Å.
Space group I4mm (No. 107)
One atom of each set of equivalent atoms:
Ba 0.0000 0.0000 0.0000  4 Ba 3.85, 4 Er 4.00, 4 La 4.12
La 0.0000 0.0000 0.6870  4 Er 3.53, 4 La 3.85
Er 0.0000 0.0000 0.3228  4 La 3.53, 4 Er 3.85

**Energy relative to the elements**: 0.164 eV/atom
**ΔE to the lowest computed polymorph**: 0.0000 eV/atom
**E**: -3.640 eV/atom

# 19
Entry from the Alexandria database: CdSnN3 after structural relaxation (PBE-GGA).

Cell lengths 4.1712, 4.1712, 4.1712 Å; angles 90.00, 90.00, 90.00 degrees
Last column: nearest neighbours and their distance in Å.
Space group Pm-3m (No. 221)
One atom of each set of equivalent atoms:
Cd 0.0000 0.0000 0.0000  12 N 2.95
Sn 0.5000 0.5000 0.5000  6 N 2.09
N 0.0000 0.5000 0.5000  2 Sn 2.09

**E**: -4.424 eV/atom

# 20
Entry from the Alexandria database: TaPbAu after structural relaxation (PBE-GGA).

Cell lengths 3.1404, 3.1404, 7.5180 Å; angles 90.00, 90.00, 120.00 degrees
Last column: nearest neighbours and their distance in Å.
Space group P3m1 (No. 156)
One atom of each set of equivalent atoms:
Ta 0.0000 0.0000 0.0000  3 Au 2.83, 6 Ta 3.14, 3 Pb 3.16
Pb 0.6667 0.3333 0.6560  6 Pb 3.14, 3 Ta 3.16, 3 Au 3.30
Au 0.3333 0.6667 0.2895  3 Ta 2.83, 6 Au 3.14

**Energy relative to the elements**: 0.308 eV/atom
**E**: -5.972 eV/atom

# 21
Entry from the Alexandria database: LiLa2Cl after structural relaxation (PBE-GGA).

Cell lengths 7.5772, 7.5772, 7.5772 Å; angles 90.00, 90.00, 90.00 degrees
Last column: nearest neighbours and their distance in Å.
Space group Fm-3m (No. 225)
One atom of each set of equivalent atoms:
Li 0.0000 0.0000 0.0000  8 La 3.28
La 0.2500 0.2500 0.2500  4 Cl 3.28, 4 Li 3.28
Cl 0.0000 0.0000 0.5000  8 La 3.28

**ΔE to the lowest computed polymorph**: 0.3053 eV/atom
**E**: -3.779 eV/atom

# 22
Entry from the Alexandria database: LiTiFePt after structural relaxation (PBE-GGA).

Cell lengths 5.9754, 5.9754, 5.9754 Å; angles 90.00, 90.00, 90.00 degrees
Last column: nearest neighbours and their distance in Å.
Space group F-43m (No. 216)
One atom of each set of equivalent atoms:
Li 0.0000 0.0000 0.0000  4 Fe 2.59, 4 Pt 2.59
Ti 0.0000 0.0000 0.5000  4 Fe 2.59, 4 Pt 2.59
Fe 0.2500 0.2500 0.7500  4 Li 2.59, 4 Ti 2.59
Pt 0.2500 0.2500 0.2500  4 Li 2.59, 4 Ti 2.59

**Energy relative to the elements**: -0.370 eV/atom
**E**: -6.448 eV/atom

# 23
Entry from the Alexandria database: Be2CrAu2 after structural relaxation (PBE-GGA).

Cell lengths 6.7242, 6.7242, 2.8280 Å; angles 90.00, 90.00, 90.00 degrees
Last column: nearest neighbours and their distance in Å.
Space group P4/mbm (No. 127)
One atom of each set of equivalent atoms:
Be 0.1320 0.3680 0.0000  6 Au 2.37-2.47, 1 Be 2.51, 2 Cr 2.63
Cr 0.0000 0.0000 0.0000  4 Be 2.63, 2 Cr 2.83, 8 Au 2.87
Au 0.1677 0.6677 0.5000  6 Be 2.37-2.47

**Energy relative to the elements**: 0.137 eV/atom
**ΔE to the lowest computed polymorph**: 0.0000 eV/atom
**E**: -4.589 eV/atom

# 24
Entry from the Alexandria database: Ca2LaBi2 after structural relaxation (PBE-GGA).

Cell lengths 8.8691, 8.8691, 4.3405 Å; angles 90.00, 90.00, 90.00 degrees
Last column: nearest neighbours and their distance in Å.
Space group P4/mbm (No. 127)
One atom of each set of equivalent atoms:
Ca 0.1432 0.3568 0.0000  6 Bi 3.29-3.46, 1 Ca 3.59
La 0.0000 0.0000 0.5000  4 Bi 3.33
Bi 0.1598 0.6598 0.5000  6 Ca 3.29-3.46, 2 La 3.33

**Energy relative to the elements**: -0.751 eV/atom
**ΔE to the lowest computed polymorph**: 0.0000 eV/atom
**E**: -4.090 eV/atom

# 25
Entry from the Alexandria database: Na3ErU3S8 after structural relaxation (PBE-GGA).

Cell lengths 7.9331, 7.9331, 20.2598 Å; angles 90.00, 90.00, 120.00 degrees
Last column: nearest neighbours and their distance in Å.
Space group R-3m (No. 166, hexagonal axes)
One atom of each set of equivalent atoms:
Na 0.0000 0.5000 0.0000  6 S 2.93-2.96
Er 0.0000 0.0000 0.5000  6 S 2.73
U 0.0000 0.5000 0.5000  6 S 2.74-2.77
S 0.0000 0.0000 0.2433  3 U 2.77, 3 Na 2.93
S 0.0019 0.5010 0.2406  1 Er 2.73, 2 U 2.74, 2 Na 2.96

**E**: -6.510 eV/atom

# 26
Entry from the Alexandria database: CdRh3Se after structural relaxation (PBE-GGA).

Cell lengths 4.5714, 4.5714, 4.5714 Å; angles 90.00, 90.00, 90.00 degrees
Last column: nearest neighbours and their distance in Å.
Space group Pm-3m (No. 221)
One atom of each set of equivalent atoms:
Cd 0.0000 0.0000 0.0000  12 Rh 3.23
Rh 0.0000 0.5000 0.5000  2 Se 2.29
Se 0.5000 0.5000 0.5000  6 Rh 2.29

**ΔE to the lowest computed polymorph**: 0.0000 eV/atom
**E**: -5.011 eV/atom